1.
Sm12Er3Sc: relaxed, PBE.

space-group type	P4/mmm (123)
energy of formation from the pure elements	0.02	eV per atom
density	7.51	Mg/m³

a b c (Å): 5.069 5.069 20.233
angles (deg): 90.00 90.00 90.00
Positions (direct):
1 Sm 0.000 0.000 0.000
2 Sm 0.000 0.000 0.248
3 Sm 0.000 0.000 0.500
4 Sm 0.000 0.000 0.752
5 Sm 0.000 0.500 0.122
6 Sm 0.000 0.500 0.374
7 Sm 0.000 0.500 0.626
8 Sm 0.000 0.500 0.878
9 Sm 0.500 0.000 0.122
10 Sm 0.500 0.000 0.374
11 Sm 0.500 0.000 0.626
12 Sm 0.500 0.000 0.878
13 Er 0.500 0.500 0.248
14 Er 0.500 0.500 0.500
15 Er 0.500 0.500 0.752
16 Sc 0.500 0.500 0.000

***

2.
Sm7Er3Sc: relaxed, PBE.

space-group type	C2/m (12)
distance to the lowest polymorph of the same formula	0.0	meV per atom
energy of formation from the pure elements	0.14	eV per atom
density	7.37	Mg/m³

a b c (Å): 9.810 9.810 11.252
angles (deg): 90.12 90.12 138.26
Positions (direct):
1 Sm 0.089 0.410 0.029
2 Sm 0.093 0.414 0.470
3 Sm 0.173 0.345 0.749
4 Sm 0.237 0.237 0.249
5 Sm 0.345 0.173 0.749
6 Sm 0.410 0.089 0.029
7 Sm 0.414 0.093 0.470
8 Sm 0.586 0.907 0.530
9 Sm 0.590 0.911 0.971
10 Sm 0.655 0.827 0.251
11 Sm 0.763 0.763 0.751
12 Sm 0.827 0.655 0.251
13 Sm 0.907 0.586 0.530
14 Sm 0.911 0.590 0.971
15 Er 0.000 0.000 0.500
16 Er 0.245 0.751 0.250
17 Er 0.249 0.755 0.750
18 Er 0.500 0.500 0.000
19 Er 0.751 0.245 0.250
20 Er 0.755 0.249 0.750
21 Sc 0.000 0.000 0.000
22 Sc 0.500 0.500 0.500

***

3.
SmEr2Sc9: relaxed, PBE.

space-group type	P6/mmm (191)
energy of formation from the pure elements	0.07	eV per atom
density	4.69	Mg/m³

a b c (Å): 10.497 10.497 3.301
angles (deg): 90.00 90.00 120.00
Positions (direct):
1 Sm 0.000 0.000 0.000
2 Er 0.333 0.667 0.000
3 Er 0.667 0.333 0.000
4 Sc 0.000 0.500 0.000
5 Sc 0.177 0.354 0.500
6 Sc 0.177 0.823 0.500
7 Sc 0.354 0.177 0.500
8 Sc 0.500 0.000 0.000
9 Sc 0.500 0.500 0.000
10 Sc 0.646 0.823 0.500
11 Sc 0.823 0.177 0.500
12 Sc 0.823 0.646 0.500

***

4.
Sm4Er6Sc: relaxed, PBE.

space-group type	P4/mnc (128)
energy of formation from the pure elements	0.11	eV per atom
density	8.06	Mg/m³

a b c (Å): 8.533 8.533 9.337
angles (deg): 90.00 90.00 90.00
Positions (direct):
1 Sm 0.145 0.355 0.250
2 Sm 0.145 0.355 0.750
3 Sm 0.355 0.855 0.250
4 Sm 0.355 0.855 0.750
5 Sm 0.645 0.145 0.250
6 Sm 0.645 0.145 0.750
7 Sm 0.855 0.645 0.250
8 Sm 0.855 0.645 0.750
9 Er 0.000 0.000 0.170
10 Er 0.000 0.000 0.830
11 Er 0.153 0.657 0.500
12 Er 0.157 0.653 0.000
13 Er 0.343 0.153 0.500
14 Er 0.347 0.157 0.000
15 Er 0.500 0.500 0.330
16 Er 0.500 0.500 0.670
17 Er 0.653 0.843 0.000
18 Er 0.657 0.847 0.500
19 Er 0.843 0.347 0.000
20 Er 0.847 0.343 0.500
21 Sc 0.000 0.000 0.500
22 Sc 0.500 0.500 0.000

***

5.
Sm4ErSc: relaxed, PBE.

space-group type	Cmmm (65)
distance to the lowest polymorph of the same formula	572.4	meV per atom
energy of formation from the pure elements	0.61	eV per atom
density	6.07	Mg/m³

a b c (Å): 8.058 8.058 3.430
angles (deg): 90.00 90.00 90.21
Positions (direct):
1 Sm 0.233 0.767 0.000
2 Sm 0.254 0.254 0.500
3 Sm 0.746 0.746 0.500
4 Sm 0.767 0.233 0.000
5 Er 0.500 0.500 0.000
6 Sc 0.000 0.000 0.500

***

6.
Sm12Er5Sc: relaxed, PBE.

space-group type	Cmmm (65)
energy of formation from the pure elements	0.03	eV per atom
density	7.66	Mg/m³

a b c (Å): 10.718 10.718 5.067
angles (deg): 90.00 90.00 90.24
Positions (direct):
1 Sm 0.002 0.671 0.500
2 Sm 0.163 0.163 0.000
3 Sm 0.167 0.501 0.000
4 Sm 0.329 0.998 0.500
5 Sm 0.334 0.334 0.500
6 Sm 0.499 0.833 0.000
7 Sm 0.501 0.167 0.000
8 Sm 0.666 0.666 0.500
9 Sm 0.671 0.002 0.500
10 Sm 0.833 0.499 0.000
11 Sm 0.837 0.837 0.000
12 Sm 0.998 0.329 0.500
13 Er 0.165 0.835 0.000
14 Er 0.334 0.666 0.500
15 Er 0.500 0.500 0.000
16 Er 0.666 0.334 0.500
17 Er 0.835 0.165 0.000
18 Sc 0.000 0.000 0.500

***

7.
Sm6Er12Sc: relaxed, PBE.

space-group type	R-3m (166)
distance to the lowest polymorph of the same formula	182.8	meV per atom
energy of formation from the pure elements	0.35	eV per atom
density	7.76	Mg/m³

a b c (Å): 9.811 9.811 9.811
angles (deg): 112.50 112.50 112.50
Positions (direct):
1 Sm 0.140 0.825 0.825
2 Sm 0.175 0.175 0.860
3 Sm 0.175 0.860 0.175
4 Sm 0.825 0.140 0.825
5 Sm 0.825 0.825 0.140
6 Sm 0.860 0.175 0.175
7 Er 0.000 0.386 0.614
8 Er 0.000 0.614 0.386
9 Er 0.267 0.267 0.581
10 Er 0.267 0.581 0.267
11 Er 0.386 0.000 0.614
12 Er 0.386 0.614 0.000
13 Er 0.419 0.733 0.733
14 Er 0.581 0.267 0.267
15 Er 0.614 0.000 0.386
16 Er 0.614 0.386 0.000
17 Er 0.733 0.419 0.733
18 Er 0.733 0.733 0.419
19 Sc 0.500 0.500 0.500

***

8.
Sm4ErSc5: relaxed, PBE.

space-group type	I4mm (107)
energy of formation from the pure elements	0.23	eV per atom
density	5.55	Mg/m³

a b c (Å): 7.787 7.787 7.787
angles (deg): 97.54 97.54 137.51
Positions (direct):
1 Sm 0.000 0.320 0.320
2 Sm 0.000 0.680 0.680
3 Sm 0.320 0.000 0.320
4 Sm 0.680 0.000 0.680
5 Er 0.743 0.743 0.000
6 Sc 0.228 0.228 0.000
7 Sc 0.283 0.283 0.621
8 Sc 0.283 0.662 0.000
9 Sc 0.662 0.283 0.000
10 Sc 0.662 0.662 0.379

***

9.
SmEr3Sc: relaxed, PBE.

space-group type	P2_1/m (11)
distance to the lowest polymorph of the same formula	0.0	meV per atom
energy of formation from the pure elements	0.02	eV per atom
density	7.66	Mg/m³

a b c (Å): 6.163 5.527 9.393
angles (deg): 90.00 109.07 90.00
Positions (direct):
1 Sm 0.068 0.250 0.298
2 Sm 0.932 0.750 0.702
3 Er 0.140 0.750 0.096
4 Er 0.272 0.250 0.709
5 Er 0.336 0.750 0.503
6 Er 0.664 0.250 0.497
7 Er 0.728 0.750 0.291
8 Er 0.860 0.250 0.904
9 Sc 0.465 0.250 0.096
10 Sc 0.535 0.750 0.904

***

10.
Sm5ErSc4: relaxed, PBE.

space-group type	I4 (79)
energy of formation from the pure elements	0.33	eV per atom
density	6.03	Mg/m³

a b c (Å): 7.649 7.649 7.649
angles (deg): 99.41 99.41 132.30
Positions (direct):
1 Sm 0.000 0.000 0.000
2 Sm 0.482 0.581 0.604
3 Sm 0.581 0.977 0.099
4 Sm 0.878 0.482 0.901
5 Sm 0.977 0.878 0.396
6 Er 0.460 0.460 0.000
7 Sc 0.175 0.590 0.302
8 Sc 0.288 0.874 0.698
9 Sc 0.590 0.288 0.415
10 Sc 0.874 0.175 0.585

***

11.
Sm4Er2Sc3: relaxed, PBE.

space-group type	C2/m (12)
energy of formation from the pure elements	0.05	eV per atom
density	6.64	Mg/m³

a b c (Å): 7.775 7.775 7.835
angles (deg): 107.40 107.40 36.55
Positions (direct):
1 Sm 0.052 0.052 0.332
2 Sm 0.276 0.276 0.667
3 Sm 0.724 0.724 0.333
4 Sm 0.948 0.948 0.668
5 Er 0.165 0.165 0.998
6 Er 0.835 0.835 0.002
7 Sc 0.389 0.389 0.328
8 Sc 0.500 0.500 0.000
9 Sc 0.611 0.611 0.672

***

12.
Sm2Er6Sc: relaxed, PBE.

space-group type	C2/c (15)
distance to the lowest polymorph of the same formula	7.2	meV per atom
energy of formation from the pure elements	0.10	eV per atom
density	8.15	Mg/m³

a b c (Å): 9.893 9.893 6.004
angles (deg): 95.48 95.48 70.50
Positions (direct):
1 Sm 0.069 0.273 0.065
2 Sm 0.273 0.069 0.565
3 Sm 0.727 0.931 0.435
4 Sm 0.931 0.727 0.935
5 Er 0.094 0.810 0.489
6 Er 0.157 0.434 0.639
7 Er 0.190 0.906 0.011
8 Er 0.257 0.525 0.174
9 Er 0.434 0.157 0.139
10 Er 0.475 0.743 0.326
11 Er 0.525 0.257 0.674
12 Er 0.566 0.843 0.861
13 Er 0.743 0.475 0.826
14 Er 0.810 0.094 0.989
15 Er 0.843 0.566 0.361
16 Er 0.906 0.190 0.511
17 Sc 0.397 0.603 0.750
18 Sc 0.603 0.397 0.250

***

13.
Sm5Er3Sc: relaxed, PBE.

space-group type	C2/m (12)
energy of formation from the pure elements	0.57	eV per atom
density	6.57	Mg/m³

a b c (Å): 8.031 8.031 11.268
angles (deg): 107.58 107.58 90.44
Positions (direct):
1 Sm 0.032 0.032 0.382
2 Sm 0.074 0.539 0.352
3 Sm 0.195 0.195 0.909
4 Sm 0.246 0.754 0.000
5 Sm 0.461 0.926 0.648
6 Sm 0.539 0.074 0.352
7 Sm 0.754 0.246 0.000
8 Sm 0.805 0.805 0.091
9 Sm 0.926 0.461 0.648
10 Sm 0.968 0.968 0.618
11 Er 0.121 0.121 0.157
12 Er 0.299 0.299 0.657
13 Er 0.500 0.500 0.000
14 Er 0.500 0.500 0.500
15 Er 0.701 0.701 0.343
16 Er 0.879 0.879 0.843
17 Sc 0.405 0.405 0.203
18 Sc 0.595 0.595 0.797

***

14.
Sm5Er12Sc2: relaxed, PBE.

space-group type	C2/m (12)
energy of formation from the pure elements	0.18	eV per atom
density	7.91	Mg/m³

a b c (Å): 9.833 9.833 9.814
angles (deg): 110.36 110.36 42.77
Positions (direct):
1 Sm 0.000 0.000 0.000
2 Sm 0.190 0.190 0.696
3 Sm 0.318 0.318 0.294
4 Sm 0.682 0.682 0.706
5 Sm 0.810 0.810 0.304
6 Er 0.015 0.015 0.714
7 Er 0.087 0.592 0.994
8 Er 0.090 0.594 0.635
9 Er 0.406 0.910 0.365
10 Er 0.408 0.913 0.006
11 Er 0.499 0.499 0.185
12 Er 0.501 0.501 0.815
13 Er 0.592 0.087 0.994
14 Er 0.594 0.090 0.635
15 Er 0.910 0.406 0.365
16 Er 0.913 0.408 0.006
17 Er 0.985 0.985 0.286
18 Sc 0.304 0.696 0.500
19 Sc 0.696 0.304 0.500

***

15.
Sm3Er7Sc: relaxed, PBE.

space-group type	P3m1 (156)
energy of formation from the pure elements	0.19	eV per atom
density	7.72	Mg/m³

a b c (Å): 6.966 6.966 8.532
angles (deg): 90.00 90.00 120.00
Positions (direct):
1 Sm 0.001 0.501 0.000
2 Sm 0.499 0.501 0.000
3 Sm 0.499 0.999 0.000
4 Er 0.168 0.337 0.658
5 Er 0.168 0.832 0.658
6 Er 0.335 0.168 0.335
7 Er 0.663 0.832 0.658
8 Er 0.667 0.333 0.660
9 Er 0.832 0.168 0.335
10 Er 0.832 0.665 0.335
11 Sc 0.333 0.667 0.337

***

16.
Sm4Er5Sc2: relaxed, PBE.

space-group type	C2/m (12)
energy of formation from the pure elements	0.11	eV per atom
density	7.38	Mg/m³

a b c (Å): 11.841 11.841 8.471
angles (deg): 94.91 94.91 16.90
Positions (direct):
1 Sm 0.039 0.039 0.346
2 Sm 0.276 0.276 0.175
3 Sm 0.724 0.724 0.825
4 Sm 0.961 0.961 0.654
5 Er 0.129 0.129 0.040
6 Er 0.183 0.183 0.475
7 Er 0.500 0.500 0.000
8 Er 0.817 0.817 0.525
9 Er 0.871 0.871 0.960
10 Sc 0.412 0.412 0.303
11 Sc 0.588 0.588 0.697

***

17.
SmEr5Sc2: relaxed, PBE.

space-group type	I4/mcm (140)
energy of formation from the pure elements	0.11	eV per atom
density	7.56	Mg/m³

a b c (Å): 8.768 8.768 8.768
angles (deg): 120.48 120.48 89.16
Positions (direct):
1 Sm 0.250 0.250 0.000
2 Sm 0.750 0.750 0.000
3 Er 0.000 0.000 0.000
4 Er 0.006 0.506 0.198
5 Er 0.192 0.994 0.500
6 Er 0.308 0.808 0.802
7 Er 0.494 0.692 0.500
8 Er 0.500 0.500 0.000
9 Er 0.506 0.308 0.500
10 Er 0.692 0.192 0.198
11 Er 0.808 0.006 0.500
12 Er 0.994 0.494 0.802
13 Sc 0.142 0.358 0.500
14 Sc 0.358 0.858 0.216
15 Sc 0.642 0.142 0.784
16 Sc 0.858 0.642 0.500

***

18.
Sm7Er2Sc: relaxed, PBE.

space-group type	Cmmm (65)
energy of formation from the pure elements	0.67	eV per atom
density	6.04	Mg/m³

a b c (Å): 9.568 9.568 5.267
angles (deg): 90.00 90.00 125.24
Positions (direct):
1 Sm 0.000 0.000 0.000
2 Sm 0.214 0.429 0.000
3 Sm 0.303 0.697 0.500
4 Sm 0.429 0.214 0.000
5 Sm 0.571 0.786 0.000
6 Sm 0.697 0.303 0.500
7 Sm 0.786 0.571 0.000
8 Er 0.204 0.796 0.000
9 Er 0.796 0.204 0.000
10 Sc 0.500 0.500 0.500

***

19.
SmErSc: relaxed, PBE.

space-group type	I4mm (107)
distance to the lowest polymorph of the same formula	23.7	meV per atom
energy of formation from the pure elements	0.05	eV per atom
density	6.81	Mg/m³

a b c (Å): 7.686 7.686 7.686
angles (deg): 153.79 153.79 37.41
Positions (direct):
1 Sm 0.000 0.000 0.000
2 Er 0.323 0.323 0.000
3 Sc 0.663 0.663 0.000